Computed, not measured: crystalline Mn2Sn2O7 at its relaxed geometry at the PBE with a Hubbard U level of DFT.

Summary:
Fermi-level density of states: 0.362 states/eV/atom
Calculated density: 5.926 g/cm³
Calculated volume: 128.7 Å³/f.u.
Symmetry: P-4m2
Relative energy among the computed polymorphs: 0.000 eV/atom

Unit cell a=3.6087 b=3.6087 c=9.8832 alpha=90.00 beta=90.00 gamma=90.00
Last column: nearest neighbours and their distance in Å.
Fractional coordinates of all 11 atoms:
1 Mn 0.0000 0.5000 0.1346  6 O 2.01-2.24
2 Mn 0.5000 0.0000 0.8654  6 O 2.01-2.24
3 Sn 0.0000 0.5000 0.6310  8 O 2.15-2.31
4 Sn 0.5000 0.0000 0.3690  8 O 2.15-2.31
5 O 0.0000 0.0000 0.2236  2 Mn 2.01
6 O 0.0000 0.0000 0.5000  4 Sn 2.22
7 O 0.0000 0.0000 0.7764  2 Mn 2.01
8 O 0.5000 0.5000 0.0000  4 Mn 2.24, 2 O 2.48
9 O 0.5000 0.5000 0.2513  2 Mn 2.14, 2 Sn 2.15
10 O 0.5000 0.5000 0.5000  4 Sn 2.22, 2 O 2.46
11 O 0.5000 0.5000 0.7487  2 Mn 2.14, 2 Sn 2.15